(1)
Entry from OQMD: a relaxed ThSbPb crystal (PBE).

Cell and atoms, written as POSCAR:
```
ThSbPb
1.0
0.0000 3.7281 3.7281
3.7281 0.0000 3.7281
3.7281 3.7281 0.0000
Th Sb Pb
1 1 1
direct
0.0000 0.0000 0.0000 Th
0.5000 0.5000 0.5000 Sb
0.7500 0.7500 0.7500 Pb
```

Results
As for the space group: No. 216. The value obtained for the total energy is -14.7 eV/cell.

(2)
Entry from OQMD: a relaxed TmSbPb crystal (PBE).

Cell and atoms, written as POSCAR:
```
TmSbPb
1.0
0.0000 3.6374 3.6374
3.6374 0.0000 3.6374
3.6374 3.6374 0.0000
Tm Sb Pb
1 1 1
direct
0.0000 0.0000 0.0000 Tm
0.2500 0.2500 0.2500 Sb
0.7500 0.7500 0.7500 Pb
```

Results
As for the space group: No. 216. As for the energy above the most stable polymorph in this dataset: 0.000 eV per atom.

(3)
Entry from OQMD: a relaxed TmSbPb crystal (PBE).

Cell and atoms, written as POSCAR:
```
TmSbPb
1.0
0.0000 3.6542 3.6542
3.6542 0.0000 3.6542
3.6542 3.6542 0.0000
Tm Sb Pb
1 1 1
direct
0.0000 0.0000 0.0000 Tm
0.7500 0.7500 0.7500 Sb
0.5000 0.5000 0.5000 Pb
```

Results
As for the space group: No. 216. As for the energy above the most stable polymorph in this dataset: 0.034 eV per atom.